A plane-wave DFT calculation with PBE-GGA was carried out for a relaxed RbP2Pt4 crystal.

a = 8.341 Å, b = 8.341 Å, c = 3.623 Å
α = 90.00°, β = 90.00°, γ = 90.00°
Atoms (fractional coordinates):
Rb1 0.000 0.000 0.000
Rb2 0.500 0.500 0.500
P1 0.223 0.223 0.500
P2 0.277 0.723 0.000
P3 0.723 0.277 0.000
P4 0.777 0.777 0.500
Pt1 0.100 0.658 0.500
Pt2 0.158 0.400 0.000
Pt3 0.342 0.900 0.500
Pt4 0.400 0.158 0.000
Pt5 0.600 0.842 0.000
Pt6 0.658 0.100 0.500
Pt7 0.842 0.600 0.000
Pt8 0.900 0.342 0.500

- Electronic total energy: -5.45 eV/atom
- Calculated formation energy: -0.31 eV per atom
- Space-group type: P4_2/mnm (136)